[1]
! ZnAu5 PBE-GGA optimized geometry; values from VASP
! Total magnetization = 0.000 μB/atom
! Energy = -18.12 eV/cell
! SG = No. 123
&SYSTEM
  ibrav = 0, nat = 6, ntyp = 2
/
ATOMIC_SPECIES
Zn 65.41 Zn.upf
Au 196.97 Au.upf
CELL_PARAMETERS angstrom
2.973 0.000 0.000
0.000 2.973 0.000
0.000 0.000 11.851
ATOMIC_POSITIONS angstrom
Zn 0.000 0.000 0.000
Au 0.000 0.000 3.870
Au 0.000 0.000 7.981
Au 1.486 1.486 1.769
Au 1.486 1.486 5.925
Au 1.486 1.486 10.082

[2]
! Zn5Au PBE-GGA optimized geometry; values from VASP
! Total magnetization = 0.000 μB/atom
! Energy = -10.10 eV/cell
! SG = No. 38
&SYSTEM
  ibrav = 0, nat = 6, ntyp = 2
/
ATOMIC_SPECIES
Zn 65.41 Zn.upf
Au 196.97 Au.upf
CELL_PARAMETERS angstrom
4.262 0.000 0.000
0.000 1.459 7.434
0.000 -1.459 7.434
ATOMIC_POSITIONS angstrom
Zn 0.000 0.000 0.000
Zn 0.000 0.000 4.820
Zn 0.000 0.000 9.857
Zn 2.131 0.000 1.623
Zn 2.131 0.000 11.492
Au 2.131 0.000 6.517

[3]
! ZnAu2 PBE-GGA optimized geometry; values from VASP
! Total magnetization = 0.000 μB/atom
! Energy = -8.31 eV/cell
! SG = No. 71
&SYSTEM
  ibrav = 0, nat = 3, ntyp = 2
/
ATOMIC_SPECIES
Zn 65.41 Zn.upf
Au 196.97 Au.upf
CELL_PARAMETERS angstrom
-1.501 1.758 4.785
1.501 -1.758 4.785
1.501 1.758 -4.785
ATOMIC_POSITIONS angstrom
Zn 0.000 0.000 0.000
Au 0.000 0.000 3.306
Au 0.000 0.000 6.265

[4]
! ZnAu6 PBE-GGA optimized geometry; values from VASP
! Energy above the lowest structure with this stoichiometry = 0.0 meV/atom
! Total magnetization = 0.000 μB/atom
! SG = No. 166
&SYSTEM
  ibrav = 0, nat = 7, ntyp = 2
/
ATOMIC_SPECIES
Zn 65.41 Zn.upf
Au 196.97 Au.upf
CELL_PARAMETERS angstrom
2.325 1.342 6.631
-2.325 1.342 6.631
0.000 -2.684 6.631
ATOMIC_POSITIONS angstrom
Zn 0.000 0.000 0.000
Au 0.000 0.000 2.777
Au 0.000 0.000 5.734
Au 0.000 0.000 8.532
Au 0.000 0.000 11.361
Au 0.000 0.000 14.160
Au 0.000 0.000 17.116

[5]
! Zn22Au PBE-GGA optimized geometry; values from VASP
! Total magnetization = 0.000 μB/atom
! Energy = -59.48 eV/cell
! SG = No. 227
&SYSTEM
  ibrav = 0, nat = 46, ntyp = 2
/
ATOMIC_SPECIES
Zn 65.41 Zn.upf
Au 196.97 Au.upf
CELL_PARAMETERS angstrom
0.000 7.104 7.104
7.104 0.000 7.104
7.104 7.104 0.000
ATOMIC_POSITIONS angstrom
Zn 0.000 0.000 0.000
Zn 3.552 3.552 0.000
Zn 3.552 0.000 3.552
Zn 7.104 3.552 3.552
Zn 5.328 5.328 0.222
Zn 5.328 0.222 5.328
Zn 10.434 5.328 5.328
Zn 4.425 4.425 2.560
Zn 6.231 6.231 2.560
Zn 4.425 2.560 4.425
Zn 8.096 6.231 4.425
Zn 6.231 2.560 6.231
Zn 8.096 4.425 6.231
Zn 8.880 8.880 3.774
Zn 8.880 3.774 8.880
Zn 13.987 8.880 8.880
Zn 9.783 7.978 6.113
Zn 9.783 6.113 7.978
Zn 11.648 7.978 7.978
Zn 2.560 4.425 4.425
Zn 6.231 8.096 4.425
Zn 6.231 4.425 8.096
Zn 0.000 3.552 3.552
Zn 3.552 7.104 3.552
Zn 3.552 3.552 7.104
Zn 7.104 7.104 7.104
Zn 7.978 9.783 6.113
Zn 7.978 6.113 9.783
Zn 11.648 9.783 9.783
Zn 2.560 6.231 6.231
Zn 4.425 8.096 6.231
Zn 4.425 6.231 8.096
Zn 0.222 5.328 5.328
Zn 5.328 10.434 5.328
Zn 5.328 5.328 10.434
Zn 6.113 9.783 7.978
Zn 7.978 11.648 7.978
Zn 6.113 7.978 9.783
Zn 9.783 11.648 9.783
Zn 7.978 7.978 11.648
Zn 9.783 9.783 11.648
Zn 3.774 8.880 8.880
Zn 8.880 13.987 8.880
Zn 8.880 8.880 13.987
Au 5.328 5.328 5.328
Au 8.880 8.880 8.880

[6]
! ZnAu PBE-GGA optimized geometry; values from VASP
! Total magnetization = 0.000 μB/atom
! Energy = -9.78 eV/cell
! SG = No. 63
&SYSTEM
  ibrav = 0, nat = 4, ntyp = 2
/
ATOMIC_SPECIES
Zn 65.41 Zn.upf
Au 196.97 Au.upf
CELL_PARAMETERS angstrom
1.457 -5.275 0.000
1.457 5.275 0.000
0.000 0.000 4.399
ATOMIC_POSITIONS angstrom
Zn 1.457 3.631 3.299
Zn 1.457 -3.631 1.100
Au 1.457 0.964 3.299
Au 1.457 -0.964 1.100

[7]
! Zn5Au4 PBE-GGA optimized geometry; values from VASP
! Energy above the lowest structure with this stoichiometry = 0.0 meV/atom
! Total magnetization = 0.000 μB/atom
! SG = No. 2
&SYSTEM
  ibrav = 0, nat = 9, ntyp = 2
/
ATOMIC_SPECIES
Zn 65.41 Zn.upf
Au 196.97 Au.upf
CELL_PARAMETERS angstrom
3.980 0.000 0.000
-1.990 4.437 0.000
-0.113 -2.355 8.242
ATOMIC_POSITIONS angstrom
Zn 0.000 0.000 0.000
Zn -0.089 1.009 6.422
Zn -0.056 2.014 3.631
Zn 1.933 0.068 4.611
Zn 1.966 1.073 1.820
Au -0.030 -0.519 2.790
Au -0.010 2.768 0.926
Au 1.888 -0.685 7.316
Au 1.907 2.601 5.453

[8]
! ZnAu PBE-GGA optimized geometry; values from VASP
! Total magnetization = 0.000 μB/atom
! Energy = -18.60 eV/cell
! SG = No. 140
&SYSTEM
  ibrav = 0, nat = 8, ntyp = 2
/
ATOMIC_SPECIES
Zn 65.41 Zn.upf
Au 196.97 Au.upf
CELL_PARAMETERS angstrom
-4.490 4.490 2.384
4.490 -4.490 2.384
4.490 4.490 -2.384
ATOMIC_POSITIONS angstrom
Zn 5.423 0.934 0.000
Zn 0.934 3.556 0.000
Zn 3.556 0.934 2.384
Zn -0.934 3.556 2.384
Au 2.811 1.678 0.000
Au 2.811 -1.678 2.384
Au 1.678 6.168 0.000
Au 1.678 2.811 2.384

[9]
! Zn3Au2 PBE-GGA optimized geometry; values from VASP
! Energy above the lowest structure with this stoichiometry = 32.7 meV/atom
! Total magnetization = 0.000 μB/atom
! SG = No. 43
&SYSTEM
  ibrav = 0, nat = 10, ntyp = 2
/
ATOMIC_SPECIES
Zn 65.41 Zn.upf
Au 196.97 Au.upf
CELL_PARAMETERS angstrom
0.000 6.698 2.544
4.694 0.000 2.544
4.694 6.698 0.000
ATOMIC_POSITIONS angstrom
Zn 0.000 0.000 0.000
Zn 2.347 3.349 1.272
Zn 4.292 5.366 2.358
Zn 5.097 8.031 2.358
Zn 7.444 8.715 3.630
Zn 6.639 11.380 3.630
Au 4.980 2.638 2.180
Au 6.756 5.988 3.452
Au 4.409 10.759 2.180
Au 2.633 7.409 3.452

[10]
! ZnAu PBE-GGA optimized geometry; values from VASP
! Total magnetization = 0.000 μB/atom
! Energy = -16.65 eV/cell
! SG = No. 217
&SYSTEM
  ibrav = 0, nat = 8, ntyp = 2
/
ATOMIC_SPECIES
Zn 65.41 Zn.upf
Au 196.97 Au.upf
CELL_PARAMETERS angstrom
-4.012 4.012 4.012
4.012 -4.012 4.012
4.012 4.012 -4.012
ATOMIC_POSITIONS angstrom
Zn 2.459 2.459 -2.459
Zn 2.459 -2.459 2.459
Zn 1.554 1.554 1.554
Zn -2.459 2.459 2.459
Au 1.037 1.037 -1.037
Au 1.037 -1.037 1.037
Au -1.037 1.037 1.037
Au 2.976 2.976 2.976